Record 1
# Ac6Ir2AuCl2

A geometry-optimized Ac6Ir2AuCl2 structure (GGA-PBE, Alexandria).

CIF file:
```
data_Ac6Ir2AuCl2
_symmetry_space_group_name_H-M 'C 1 2/m 1'
_symmetry_Int_Tables_number 12
_cell_length_a 7.766
_cell_length_b 13.304
_cell_length_c 7.941
_cell_angle_alpha 90.00
_cell_angle_beta 108.47
_cell_angle_gamma 90.00
loop_
_symmetry_equiv_pos_as_xyz
'x,y,z'
'-x,-y,-z'
'-x,y,-z'
'x,-y,z'
'x+1/2,y+1/2,z'
'-x+1/2,-y+1/2,-z'
'-x+1/2,y+1/2,-z'
'x+1/2,-y+1/2,z'
loop_
_atom_site_label
_atom_site_fract_x
_atom_site_fract_y
_atom_site_fract_z
Ac1 0.215 0.000 0.214
Ac2 0.249 0.327 0.215
Ir1 0.000 0.169 0.000
Au1 0.000 0.500 0.000
Cl1 0.000 0.333 0.500
```

**ΔE_f (raw)**: -11.7 eV per formula unit
**Total DFT energy (no corrections)**: -5.5468 eV/atom


Record 2
# Ac4IrAuCl2

A geometry-optimized Ac4IrAuCl2 structure (GGA-PBE, Alexandria).

CIF file:
```
data_Ac4IrAuCl2
_symmetry_space_group_name_H-M 'P 1 2/m 1'
_symmetry_Int_Tables_number 10
_cell_length_a 7.779
_cell_length_b 4.450
_cell_length_c 8.318
_cell_angle_alpha 90.00
_cell_angle_beta 108.76
_cell_angle_gamma 90.00
loop_
_symmetry_equiv_pos_as_xyz
'x,y,z'
'-x,-y,-z'
'-x,y,-z'
'x,-y,z'
loop_
_atom_site_label
_atom_site_fract_x
_atom_site_fract_y
_atom_site_fract_z
Ac1 0.226 0.000 0.205
Ac2 0.245 0.500 0.793
Ir1 0.000 0.500 0.000
Au1 0.500 0.000 0.000
Cl1 0.000 0.000 0.500
Cl2 0.500 0.500 0.500
```

**ΔE_f (raw)**: -9.8 eV per formula unit
**Total DFT energy (no corrections)**: -5.2568 eV/atom


Record 3
# Ac3IrAuCl

A geometry-optimized Ac3IrAuCl structure (GGA-PBE, Alexandria).

CIF file:
```
data_Ac3IrAuCl
_symmetry_space_group_name_H-M 'P 1 21/m 1'
_symmetry_Int_Tables_number 11
_cell_length_a 8.921
_cell_length_b 4.477
_cell_length_c 9.888
_cell_angle_alpha 90.00
_cell_angle_beta 99.73
_cell_angle_gamma 90.00
loop_
_symmetry_equiv_pos_as_xyz
'x,y,z'
'-x,-y,-z'
'-x,y+1/2,-z'
'x,-y+1/2,z'
loop_
_atom_site_label
_atom_site_fract_x
_atom_site_fract_y
_atom_site_fract_z
Ac1 0.068 0.250 0.344
Ac2 0.216 0.250 0.961
Ac3 0.376 0.750 0.618
Ir1 0.162 0.250 0.651
Au1 0.307 0.750 0.266
Cl1 0.425 0.750 0.912
```

**ΔE_f (raw)**: -5.8 eV per formula unit
**Total DFT energy (no corrections)**: -5.3441 eV/atom